# Tb7PrDy4, relaxed, DFT GGA-PBE
# Offset from the most stable computed form   0.00 eV/f.u.
# Formation energy from the elements   -1 kJ/mol of formula units
# DOS at the Fermi energy   15.40 states/eV per cell
data_Tb7PrDy4
_chemical_formula_sum 'Tb7 Pr1 Dy4'
_cell_length_a 6.227
_cell_length_b 7.193
_cell_length_c 8.864
_cell_angle_alpha 89.98
_cell_angle_beta 76.48
_cell_angle_gamma 90.00
_symmetry_space_group_name_H-M 'P -1'
_symmetry_Int_Tables_number 2
_symmetry_space_group_name_Hall '-P 1'
loop_
_atom_site_label
_atom_site_type_symbol
_atom_site_fract_x
_atom_site_fract_y
_atom_site_fract_z
_atom_site_occupancy
Tb1 Tb 0.000 0.000 0.000 1
Tb2 Tb 0.222 0.500 0.335 1
Tb3 Tb 0.279 0.248 0.664 1
Tb4 Tb 0.500 0.249 0.000 1
Pr1 Pr 0.000 0.500 0.000 1
Dy1 Dy 0.221 0.000 0.334 1
Dy2 Dy 0.279 0.751 0.665 1